MnGe2O (PBE+U, optimized geometry); total energy = -42.562 eV/cell; magnetization = 8.28 μB per cell; calculated volume = 156.44 Å³ per cell
1.0
5.5223 0.0000 0.0000
0.0000 5.5223 0.0000
2.7612 2.7612 5.1297
Ge Mn O
4 2 2
direct
0.2032 0.6250 0.2500 Ge
0.3750 0.4532 0.7500 Ge
0.5468 0.1250 0.2500 Ge
0.8750 0.7968 0.7500 Ge
0.0000 0.0000 0.0000 Mn
0.7500 0.2500 0.5000 Mn
0.2500 0.7500 0.5000 O
0.5000 0.5000 0.0000 O



MnGeO3 (PBE+U, optimized geometry); total energy = -139.008 eV/cell; magnetization = 20.00 μB per cell; calculated volume = 245.66 Å³ per cell
1.0
-3.2081 -3.2066 2.4522
2.4665 0.8182 4.2967
-5.7840 7.2675 1.9363
O Mn Ge
12 4 4
direct
0.6647 0.6275 0.9040 O
0.8353 0.1275 0.0960 O
0.2236 0.3612 0.7500 O
0.3353 0.3725 0.4040 O
0.7764 0.6388 0.2500 O
0.6647 0.6275 0.5960 O
0.3353 0.3725 0.0960 O
0.2764 0.8612 0.2500 O
0.1647 0.8725 0.5960 O
0.7236 0.1388 0.7500 O
0.1647 0.8725 0.9040 O
0.8353 0.1275 0.4040 O
0.0000 0.5000 0.0000 Mn
0.0000 0.5000 0.5000 Mn
0.5000 0.0000 0.5000 Mn
0.5000 0.0000 0.0000 Mn
0.0635 0.0297 0.7500 Ge
0.5635 0.4703 0.7500 Ge
0.9365 0.9703 0.2500 Ge
0.4365 0.5297 0.2500 Ge



MnGeO3 (PBE+U, optimized geometry); total energy = -70.773 eV/cell; magnetization = 10.00 μB per cell; calculated volume = 109.22 Å³ per cell
1.0
-4.9777 -0.7503 0.8460
1.2202 -2.5776 4.8980
1.7987 4.7369 -0.6161
O Mn Ge
6 2 2
direct
0.0418 0.2766 0.8371 O
0.4395 0.2767 0.4813 O
0.9582 0.7234 0.1629 O
0.7953 0.2767 0.2347 O
0.2047 0.7234 0.7653 O
0.5605 0.7233 0.5187 O
0.3643 0.0929 0.7286 Mn
0.6357 0.9071 0.2714 Mn
0.1568 0.4702 0.3135 Ge
0.8432 0.5298 0.6865 Ge